1.
# SrAcAsCl (GGA-PBE, relaxed)
data_SrAcAsCl
_symmetry_space_group_name_H-M 'P 1'
_symmetry_Int_Tables_number 1
_cell_length_a 5.384
_cell_length_b 5.384
_cell_length_c 5.384
_cell_angle_alpha 60.00
_cell_angle_beta 60.00
_cell_angle_gamma 60.00
loop_
_symmetry_equiv_pos_as_xyz
'x,y,z'
loop_
_atom_site_label
_atom_site_fract_x
_atom_site_fract_y
_atom_site_fract_z
Sr1 0.000 0.000 0.000
Ac1 0.500 0.500 0.500
As1 0.750 0.750 0.750
Cl1 0.250 0.250 0.250
# Magnetization in μB/cell: 0.00
# E_form (uncorrected) in eV/atom: -1.378
# Electronic total energy in eV per atom: -4.450
# Crystal system: cubic

=====

2.
# Ac8Te4As3Cl (GGA-PBE, relaxed)
data_Ac8Te4As3Cl
_symmetry_space_group_name_H-M 'P 1'
_symmetry_Int_Tables_number 1
_cell_length_a 9.146
_cell_length_b 9.341
_cell_length_c 9.146
_cell_angle_alpha 119.31
_cell_angle_beta 120.00
_cell_angle_gamma 90.00
loop_
_symmetry_equiv_pos_as_xyz
'x,y,z'
loop_
_atom_site_label
_atom_site_fract_x
_atom_site_fract_y
_atom_site_fract_z
Ac1 0.246 0.725 0.979
Ac2 0.246 0.725 0.492
Ac3 0.260 0.279 0.519
Ac4 0.733 0.725 0.979
Ac5 0.267 0.275 0.021
Ac6 0.740 0.721 0.481
Ac7 0.754 0.275 0.508
Ac8 0.754 0.275 0.021
Te1 0.500 0.000 0.000
Te2 0.500 0.000 0.500
Te3 0.000 0.000 0.000
Te4 0.000 0.000 0.500
As1 0.500 0.500 0.000
As2 0.500 0.500 0.500
As3 0.000 0.500 0.500
Cl1 0.000 0.500 0.000
# Magnetization in μB/cell: 0.00
# E_form (uncorrected) in eV/atom: -1.528
# Electronic total energy in eV per atom: -5.355
# Crystal system: trigonal

=====

3.
# Ac12Co5As (GGA-PBE, relaxed)
data_Ac12Co5As
_symmetry_space_group_name_H-M 'P 1'
_symmetry_Int_Tables_number 1
_cell_length_a 7.422
_cell_length_b 7.422
_cell_length_c 13.786
_cell_angle_alpha 95.21
_cell_angle_beta 95.21
_cell_angle_gamma 119.96
loop_
_symmetry_equiv_pos_as_xyz
'x,y,z'
loop_
_atom_site_label
_atom_site_fract_x
_atom_site_fract_y
_atom_site_fract_z
Ac1 0.201 0.201 0.613
Ac2 0.799 0.799 0.387
Ac3 0.393 0.393 0.120
Ac4 0.607 0.607 0.880
Ac5 0.687 0.040 0.120
Ac6 0.960 0.313 0.880
Ac7 0.040 0.687 0.120
Ac8 0.313 0.960 0.880
Ac9 0.458 0.129 0.389
Ac10 0.129 0.458 0.389
Ac11 0.871 0.542 0.611
Ac12 0.542 0.871 0.611
Co1 0.500 0.500 0.500
Co2 0.833 0.167 0.500
Co3 0.167 0.833 0.500
Co4 0.333 0.667 0.000
Co5 0.667 0.333 0.000
As1 0.000 0.000 0.000
# Magnetization in μB/cell: 0.00
# DFT formation energy in eV/atom: -0.15
# Electronic total energy in eV per atom: -5.121
# Crystal system: monoclinic

=====

4.
# Ac12Co5As3 (GGA-PBE, relaxed)
data_Ac12Co5As3
_symmetry_space_group_name_H-M 'P 1'
_symmetry_Int_Tables_number 1
_cell_length_a 15.257
_cell_length_b 15.257
_cell_length_c 15.257
_cell_angle_alpha 109.47
_cell_angle_beta 109.47
_cell_angle_gamma 109.47
loop_
_symmetry_equiv_pos_as_xyz
'x,y,z'
loop_
_atom_site_label
_atom_site_fract_x
_atom_site_fract_y
_atom_site_fract_z
As1 0.750 0.375 0.125
As2 0.875 0.750 0.125
As3 0.375 0.750 0.625
As4 0.250 0.125 0.375
As5 0.875 0.125 0.250
As6 0.375 0.625 0.250
As7 0.625 0.375 0.750
As8 0.125 0.875 0.750
As9 0.750 0.875 0.625
As10 0.625 0.250 0.375
As11 0.125 0.250 0.875
As12 0.250 0.625 0.875
Co1 0.125 0.375 0.250
Co2 0.000 0.500 0.000
Co3 0.000 0.000 0.000
Co4 0.375 0.250 0.125
Co5 0.500 0.000 0.500
Co6 0.500 0.500 0.000
Co7 0.125 0.750 0.375
Co8 0.750 0.125 0.875
Co9 0.750 0.625 0.375
Co10 0.375 0.125 0.750
Co11 0.625 0.875 0.250
Co12 0.500 0.500 0.500
Co13 0.500 0.000 0.000
Co14 0.000 0.000 0.500
Co15 0.250 0.375 0.625
Co16 0.250 0.875 0.125
Co17 0.000 0.500 0.500
Co18 0.875 0.250 0.625
Co19 0.625 0.750 0.875
Co20 0.875 0.625 0.750
Ac1 0.707 0.124 0.029
Ac2 0.322 0.529 0.405
Ac3 0.971 0.376 0.293
Ac4 0.529 0.207 0.124
Ac5 0.583 0.707 0.678
Ac6 0.971 0.595 0.178
Ac7 0.322 0.793 0.417
Ac8 0.095 0.917 0.124
Ac9 0.595 0.971 0.678
Ac10 0.707 0.583 0.178
Ac11 0.793 0.471 0.376
Ac12 0.822 0.905 0.029
Ac13 0.124 0.707 0.529
Ac14 0.376 0.405 0.083
Ac15 0.083 0.905 0.376
Ac16 0.417 0.124 0.595
Ac17 0.083 0.178 0.207
Ac18 0.471 0.678 0.095
Ac19 0.822 0.917 0.293
Ac20 0.124 0.417 0.095
Ac21 0.376 0.971 0.793
Ac22 0.595 0.624 0.417
Ac23 0.905 0.822 0.529
Ac24 0.793 0.322 0.917
Ac25 0.405 0.376 0.583
Ac26 0.095 0.178 0.471
Ac27 0.207 0.678 0.083
Ac28 0.178 0.083 0.707
Ac29 0.624 0.029 0.207
Ac30 0.876 0.583 0.905
Ac31 0.529 0.322 0.905
Ac32 0.583 0.876 0.405
Ac33 0.917 0.822 0.793
Ac34 0.917 0.095 0.624
Ac35 0.876 0.293 0.471
Ac36 0.178 0.095 0.971
Ac37 0.624 0.595 0.917
Ac38 0.405 0.029 0.322
Ac39 0.293 0.417 0.822
Ac40 0.207 0.529 0.624
Ac41 0.905 0.083 0.876
Ac42 0.678 0.207 0.583
Ac43 0.471 0.793 0.876
Ac44 0.029 0.405 0.822
Ac45 0.417 0.293 0.322
Ac46 0.029 0.624 0.707
Ac47 0.678 0.471 0.595
Ac48 0.293 0.876 0.971
# Magnetization in μB/cell: 0.00
# DFT formation energy in eV/atom: -0.20
# Electronic total energy in eV per atom: -5.144
# Crystal system: cubic

=====

5.
# Ac2Co12As7 (GGA-PBE, relaxed)
data_Ac2Co12As7
_symmetry_space_group_name_H-M 'P 1'
_symmetry_Int_Tables_number 1
_cell_length_a 3.874
_cell_length_b 9.518
_cell_length_c 9.518
_cell_angle_alpha 120.00
_cell_angle_beta 90.00
_cell_angle_gamma 90.00
loop_
_symmetry_equiv_pos_as_xyz
'x,y,z'
loop_
_atom_site_label
_atom_site_fract_x
_atom_site_fract_y
_atom_site_fract_z
Ac1 0.500 0.000 0.000
Ac2 0.000 0.667 0.333
Co1 0.500 0.909 0.616
Co2 0.500 0.707 0.091
Co3 0.500 0.384 0.293
Co4 0.500 0.234 0.779
Co5 0.500 0.545 0.766
Co6 0.500 0.221 0.455
Co7 0.000 0.061 0.540
Co8 0.000 0.479 0.939
Co9 0.000 0.460 0.521
Co10 0.000 0.766 0.723
Co11 0.000 0.958 0.234
Co12 0.000 0.277 0.042
As1 0.000 0.333 0.667
As2 0.000 0.040 0.770
As3 0.000 0.729 0.960
As4 0.000 0.230 0.271
As5 0.500 0.629 0.569
As6 0.500 0.941 0.371
As7 0.500 0.431 0.059
# Magnetization in μB/cell: 6.78
# DFT formation energy in eV/atom: -0.36
# Electronic total energy in eV per atom: -6.364
# Crystal system: hexagonal

=====

6.
# Ac3CoAs (GGA-PBE, relaxed)
data_Ac3CoAs
_symmetry_space_group_name_H-M 'P 1'
_symmetry_Int_Tables_number 1
_cell_length_a 5.460
_cell_length_b 5.460
_cell_length_c 5.460
_cell_angle_alpha 90.00
_cell_angle_beta 90.00
_cell_angle_gamma 90.00
loop_
_symmetry_equiv_pos_as_xyz
'x,y,z'
loop_
_atom_site_label
_atom_site_fract_x
_atom_site_fract_y
_atom_site_fract_z
Ac1 0.000 0.500 0.000
Ac2 0.000 0.000 0.500
Ac3 0.500 0.000 0.000
Co1 0.000 0.000 0.000
As1 0.500 0.500 0.500
# Magnetization in μB/cell: 0.00
# DFT formation energy in eV/atom: -0.28
# Electronic total energy in eV per atom: -5.092
# Crystal system: cubic